Record 1
Entry from Alexandria via LeMat-Bulk: an optimized crystal structure of UFe2NiO6 (GGA+U).

Unit cell a=5.334 b=5.416 c=9.530 alpha=90.00 beta=123.22 gamma=90.00
Space group P2_1/c (No. 14)
Unique sites:
U1 0.000 0.000 0.000 [2 per cell]
Fe1 0.304 0.063 0.798 [4 per cell]
Ni1 0.500 0.000 0.500 [2 per cell]
O1 0.086 0.097 0.236 [4 per cell]
O2 0.298 0.698 0.109 [4 per cell]
O3 0.380 0.184 0.042 [4 per cell]

Results
magnetization: 3.98 μB per cell
final energy: -141.3 eV per cell
volume: 11.52 Å³/atom

Record 2
Entry from Alexandria via LeMat-Bulk: an optimized crystal structure of UFeNiO6 (GGA+U).

Unit cell a=4.823 b=4.823 c=9.139 alpha=90.00 beta=90.00 gamma=90.00
Space group P4_2nm (No. 102)
Unique sites:
U1 0.000 0.000 0.000 [2 per cell]
Fe1 0.000 0.000 0.335 [2 per cell]
Ni1 0.000 0.000 0.665 [2 per cell]
O1 0.183 0.183 0.498 [4 per cell]
O2 0.190 0.190 0.172 [4 per cell]
O3 0.192 0.192 0.828 [4 per cell]

Results
magnetization: 8.00 μB per cell
final energy: -132.1 eV per cell
DOS(E_F): 1.50 states/eV/f.u.
volume: 11.81 Å³/atom

Record 3
Entry from Alexandria via LeMat-Bulk: an optimized crystal structure of V4FeNiO12 (GGA+U).

Unit cell a=10.110 b=9.153 c=5.898 alpha=90.00 beta=110.86 gamma=90.00
Space group C2 (No. 5)
Unique sites:
V1 0.202 0.000 0.492 [4 per cell]
V2 0.204 0.820 0.996 [4 per cell]
Fe1 0.000 0.493 0.000 [2 per cell]
Ni1 0.000 0.323 0.500 [2 per cell]
O1 0.114 0.330 0.882 [4 per cell]
O2 0.116 0.487 0.399 [4 per cell]
O3 0.137 0.920 0.194 [4 per cell]
O4 0.141 0.899 0.698 [4 per cell]
O5 0.146 0.173 0.476 [4 per cell]
O6 0.146 0.647 0.977 [4 per cell]

Results
magnetization: 12.00 μB per cell
final energy: -257.4 eV per cell
DOS(E_F): 0.00 states/eV/f.u.
volume: 14.17 Å³/atom

Record 4
Entry from Alexandria via LeMat-Bulk: an optimized crystal structure of Y2FeNiO6 (GGA+U).

Unit cell a=5.265 b=5.630 c=9.155 alpha=90.00 beta=124.93 gamma=90.00
Space group P2_1/c (No. 14)
Unique sites:
Y1 0.227 0.074 0.249 [4 per cell]
Fe1 0.500 0.000 0.000 [2 per cell]
Ni1 0.000 0.000 0.500 [2 per cell]
O1 0.148 0.190 0.949 [4 per cell]
O2 0.258 0.704 0.944 [4 per cell]
O3 0.365 0.034 0.759 [4 per cell]

Results
magnetization: 7.92 μB per cell
final energy: -147.5 eV per cell
volume: 11.12 Å³/atom

Record 5
Entry from Alexandria via LeMat-Bulk: an optimized crystal structure of ZnFe4NiO8 (GGA+U).

Unit cell a=8.520 b=8.520 c=8.520 alpha=90.00 beta=90.00 gamma=90.00
Space group F-43m (No. 216)
Unique sites:
Zn1 0.000 0.000 0.000 [4 per cell]
Fe1 0.125 0.125 0.375 [16 per cell]
Ni1 0.250 0.250 0.750 [4 per cell]
O1 0.116 0.116 0.616 [16 per cell]
O2 0.135 0.135 0.135 [16 per cell]

Results
magnetization: 88.00 μB per cell
DOS(E_F): 4.20 states/eV/f.u.
volume: 11.04 Å³/atom
offset from the most stable computed form: 0 meV per atom

Record 6
Entry from Alexandria via LeMat-Bulk: an optimized crystal structure of ZnFe4NiO8 (GGA+U).

Unit cell a=5.9859 b=5.9859 c=14.5831 alpha=90.00 beta=90.00 gamma=120.00
Space group R3m (No. 160, hexagonal axes)
Unique sites:
Zn1 0.0000 0.0000 0.0000 [3 per cell]
Fe1 0.0000 0.0000 0.7647 [3 per cell]
Fe2 0.0051 0.5026 0.8823 [9 per cell]
Ni1 0.0000 0.0000 0.3819 [3 per cell]
O1 0.0000 0.0000 0.1335 [3 per cell]
O2 0.0000 0.0000 0.6348 [3 per cell]
O3 0.0217 0.5109 0.1414 [9 per cell]
O4 0.1825 0.3649 0.9566 [9 per cell]

Results
magnetization: 48.00 μB per cell
volume: 10.77 Å³/atom
offset from the most stable computed form: 86 meV per atom

Number 2 is which compound? UFeNiO6

Which formula does entry 6 have? ZnFe4NiO8